# 1
A plane-wave DFT calculation with PBE was carried out for an optimized crystal structure of Dy4ErMg3.

spin magnetization = 0.00 μB per cell
energy relative to the elements = -11 meV per atom

Geometry as POSCAR:
```
Dy4ErMg3
1.0
-3.3796 0.1400 -1.7026
-0.1040 -5.4213 -0.2394
-4.9477 -0.3375 9.7932
Dy Mg Er
4 3 1
Cartesian
0.0000 0.0000 0.0000
-2.4739 -0.1688 4.8966
-3.7109 -2.9602 7.1225
-1.3408 -2.7986 2.4313
-5.3953 -0.1828 6.4832
-4.2156 -2.8094 3.9256
-2.9320 -0.0147 1.6074
-1.7418 -2.6407 -0.9710
```


# 2
A plane-wave DFT calculation with PBE was carried out for an optimized crystal structure of Dy5Er4Mg.

spin magnetization = 0.00 μB per cell
energy relative to the elements = 2 meV per atom

Geometry as POSCAR:
```
Dy5Er4Mg
1.0
-2.1861 -2.7591 -0.2610
0.6089 -0.1538 -3.4735
18.6080 -15.1150 3.9313
Dy Er Mg
5 4 1
Cartesian
0.9221 -2.8461 -1.5059
16.1087 -15.1820 1.7026
8.5154 -9.0140 0.0984
4.7076 -5.9210 -0.7061
12.3232 -12.1070 0.9029
15.0251 -12.2047 3.1744
7.4000 -6.0109 1.5634
3.5829 -2.9103 0.7570
11.2080 -9.1041 2.3679
0.0000 0.0000 0.0000
```


# 3
A plane-wave DFT calculation with PBE was carried out for an optimized crystal structure of Dy3Er12Mg.

spin magnetization = 0.00 μB per cell
energy relative to the elements = 22 meV per atom

Geometry as POSCAR:
```
Dy3Er12Mg
1.0
-0.0073 4.9353 0.3067
-4.5729 -0.1235 1.8772
7.5435 -1.1261 18.3021
Er Mg Dy
12 1 3
Cartesian
-0.4376 2.1294 5.5866
4.3288 -1.0493 16.9886
-1.3582 -0.2003 3.1907
-2.2901 2.4059 1.0919
1.4816 1.8428 10.2430
2.8152 2.0468 6.9926
6.6116 1.4801 16.2034
3.4008 1.5563 14.8994
0.5324 -0.4826 7.7778
0.9246 2.3291 2.4054
4.7209 1.7623 11.6162
2.4381 -0.7670 12.4015
0.0000 0.0000 0.0000
5.6701 -0.8465 13.7569
1.8733 -0.2797 4.5451
3.7717 -0.5631 9.1510
```


# 4
A plane-wave DFT calculation with PBE was carried out for an optimized crystal structure of Dy3Er2Mg.

excess energy over the best structure of this formula in the dataset = 100 meV per atom
spin magnetization = 0.00 μB per cell
energy relative to the elements = 167 meV per atom

Geometry as POSCAR:
```
Dy3Er2Mg
1.0
-0.3012 -7.7189 5.2230
-3.3497 -6.5824 -5.5451
6.8771 0.8975 6.0988
Dy Er Mg
6 4 2
Cartesian
-0.7988 -4.5699 -0.3713
0.9516 -7.3324 -0.1341
-1.8130 -7.3331 -2.4040
2.2746 -6.0713 5.9108
4.0250 -8.8339 6.1481
5.0393 -6.0707 8.1807
2.3466 -8.2191 2.9287
0.8796 -5.1847 2.8481
0.4957 -9.2148 5.1940
2.7305 -4.1890 0.5828
3.4814 -3.4607 3.6241
-0.2552 -9.9430 2.1527
```


# 5
A plane-wave DFT calculation with PBE was carried out for an optimized crystal structure of Dy2Er3Mg.

excess energy over the best structure of this formula in the dataset = 271 meV per atom
spin magnetization = 0.00 μB per cell
energy relative to the elements = 412 meV per atom

Geometry as POSCAR:
```
Dy2Er3Mg
1.0
-1.1904 0.3976 3.0846
2.7505 -5.1188 1.7212
6.8688 7.2512 -0.0815
Er Mg Dy
3 1 2
Cartesian
1.3753 -2.5594 0.8606
2.6215 1.6762 0.7956
5.8074 0.8538 3.9287
0.0000 0.0000 0.0000
3.1307 -0.8576 3.1163
5.2982 3.3876 1.6080
```


# 6
A plane-wave DFT calculation with PBE was carried out for an optimized crystal structure of DyEr2Mg3.

spin magnetization = 0.00 μB per cell
energy relative to the elements = -70 meV per atom

Geometry as POSCAR:
```
DyEr2Mg3
1.0
-0.3921 3.6657 -0.8215
-0.1680 -0.8422 -3.6780
-11.2048 -1.0309 0.7479
Dy Er Mg
1 2 3
Cartesian
-5.8824 0.8963 -1.8758
-9.6248 0.5519 -1.6260
-2.1401 1.2406 -2.1256
0.0000 0.0000 0.0000
-7.4905 -0.6892 0.5000
-3.7143 -0.3417 0.2479
```


# 7
A plane-wave DFT calculation with PBE was carried out for an optimized crystal structure of Dy6ErMg2.

spin magnetization = 0.00 μB per cell
energy relative to the elements = 460 meV per atom

Geometry as POSCAR:
```
Dy6ErMg2
1.0
6.8837 0.0000 0.0000
3.4418 5.9614 0.0000
3.4418 1.9871 7.5575
Dy Mg Er
6 2 1
Cartesian
3.6175 4.0134 2.4568
5.2640 2.8355 5.0885
1.5991 1.1262 2.4568
6.7073 5.9463 5.0885
5.1088 0.8218 2.4568
8.6797 3.1410 5.0885
10.3255 5.9614 5.5181
6.8837 3.9743 2.1382
6.8837 3.9743 7.5178
```


# 8
A plane-wave DFT calculation with PBE was carried out for an optimized crystal structure of Dy8Er6Mg.

excess energy over the best structure of this formula in the dataset = 0 meV per atom
spin magnetization = 0.00 μB per cell
energy relative to the elements = 103 meV per atom

Geometry as POSCAR:
```
Dy8Er6Mg
1.0
-5.3182 6.9546 1.7862
-8.5078 -0.0646 -2.7303
-6.4492 -0.6013 5.4889
Dy Er Mg
8 6 1
Cartesian
-10.5871 5.8448 4.0268
-7.5032 4.7193 3.3458
-12.7720 1.5694 1.1990
-9.7178 3.8053 0.9487
-10.5574 2.4833 3.5961
-9.6880 0.4438 0.5180
-12.8349 4.8785 1.7345
-7.4402 1.4101 2.8103
-4.5657 3.7289 1.3128
-17.0016 5.6235 4.3521
-6.6202 1.4986 -0.4524
-13.6550 4.7900 4.9972
-3.2735 0.6651 0.1927
-15.7095 2.5598 3.2320
0.0000 0.0000 0.0000
```